# 1
First-principles (PBE) data for a relaxed TbY3Bi3 crystal, as listed in the Alexandria database.

Structure (POSCAR):
```
TbY3Bi3
1.0
-4.942 -2.925 -7.459
8.012 -1.752 -4.622
0.048 -8.775 3.409
Y Tb Bi
12 4 12
Direct
0.573 0.073 0.427
0.323 0.823 0.677
0.677 0.323 0.823
0.427 0.573 0.073
0.677 0.677 0.677
0.823 0.323 0.177
0.823 0.677 0.323
0.177 0.177 0.177
0.323 0.177 0.823
0.927 0.927 0.927
0.177 0.823 0.323
0.073 0.427 0.573
0.428 0.428 0.428
0.572 0.928 0.072
0.072 0.572 0.928
0.928 0.072 0.572
0.625 0.000 0.749
0.249 0.875 0.000
0.000 0.749 0.625
0.749 0.625 0.000
0.500 0.751 0.375
0.500 0.251 0.125
0.375 0.500 0.751
0.751 0.375 0.500
0.251 0.125 0.500
0.125 0.500 0.251
0.875 0.000 0.249
0.000 0.249 0.875
```

## Properties
E_form	-0.76	eV/atom
spin magnetization	0.005	μB/cell
calculated volume	834	Å³ per cell
relative energy among the computed polymorphs	0	meV per atom

---

# 2
First-principles (PBE) data for a relaxed MnInOs3 crystal, as listed in the Alexandria database.

Structure (POSCAR):
```
MnInOs3
1.0
-2.639 -1.083 3.432
-2.754 -2.132 -2.790
2.316 -3.768 0.592
Mn In Os
1 1 3
Direct
0.000 0.000 0.000
0.500 0.500 0.500
0.500 0.000 0.000
0.000 0.500 0.000
0.000 0.000 0.500
```

## Properties
E_form	1.51	eV/atom
spin magnetization	0.000	μB/cell
calculated volume	89	Å³ per cell
relative energy among the computed polymorphs	0	meV per atom

---

> Which of these has the lowest spin magnetization?

MnInOs3